# In9Sn4Pb2, optimized geometry, DFT GGA-PBE
# ΔH_f (0 K)   41 meV/atom
# Electronic total energy   -47.45 eV per cell
data_In9Sn4Pb2
_chemical_formula_sum 'In9 Sn4 Pb2'
_cell_length_a 5.2795
_cell_length_b 5.2795
_cell_length_c 17.5281
_cell_angle_alpha 90.00
_cell_angle_beta 90.00
_cell_angle_gamma 120.00
_space_group_name_H-M_alt 'P -3 m 1'
_space_group_IT_number 164
_space_group_name_Hall '-P 3 2"'
loop_
_atom_site_label
_atom_site_fract_x
_atom_site_fract_y
_atom_site_fract_z
_atom_site_occupancy
In1 0.0000 0.0000 0.0000 1
In2 0.0000 0.0000 0.1935 1
In3 0.0000 0.0000 0.4027 1
In4 0.3333 0.6667 0.0671 1
In5 0.3333 0.6667 0.4746 1
Sn1 0.3333 0.6667 0.6685 1
Sn2 0.3333 0.6667 0.8717 1
Pb1 0.3333 0.6667 0.2715 1


# PtRhCl2, optimized geometry, DFT GGA-PBE
# Uncorrected formation energy   268 meV per atom
# Electronic total energy   -32.03 eV per cell
data_PtRhCl2
_chemical_formula_sum 'Pt2 Rh2 Cl4'
_cell_length_a 3.946
_cell_length_b 3.074
_cell_length_c 14.588
_cell_angle_alpha 90.00
_cell_angle_beta 90.00
_cell_angle_gamma 90.00
_space_group_name_H-M_alt 'A m m 2'
_space_group_IT_number 38
_space_group_name_Hall 'A 2 -2'
loop_
_atom_site_label
_atom_site_fract_x
_atom_site_fract_y
_atom_site_fract_z
_atom_site_occupancy
Pt1 0.000 0.000 0.000 1
Rh1 0.000 0.000 0.352 1
Cl1 0.000 0.000 0.619 1
Cl2 0.500 0.000 0.833 1


# Rb2GaGeBr6, optimized geometry, DFT GGA-PBE
# Uncorrected formation energy   -1066 meV per atom
# Electronic total energy   -60.55 eV per cell
data_Rb2GaGeBr6
_chemical_formula_sum 'Rb4 Ga2 Ge2 Br12'
_cell_length_a 7.802
_cell_length_b 7.802
_cell_length_c 10.978
_cell_angle_alpha 90.00
_cell_angle_beta 90.00
_cell_angle_gamma 90.00
_space_group_name_H-M_alt 'I 4/m m m'
_space_group_IT_number 139
_space_group_name_Hall '-I 4 2'
loop_
_atom_site_label
_atom_site_fract_x
_atom_site_fract_y
_atom_site_fract_z
_atom_site_occupancy
Rb1 0.000 0.500 0.250 1
Ga1 0.000 0.000 0.000 1
Ge1 0.000 0.000 0.500 1
Br1 0.000 0.000 0.248 1
Br2 0.249 0.249 0.000 1


# SiAu2Cl, optimized geometry, DFT GGA-PBE
# Uncorrected formation energy   -45 meV per atom
# Electronic total energy   -28.01 eV per cell
data_SiAu2Cl
_chemical_formula_sum 'Si2 Au4 Cl2'
_cell_length_a 12.051
_cell_length_b 3.020
_cell_length_c 7.115
_cell_angle_alpha 90.00
_cell_angle_beta 120.72
_cell_angle_gamma 90.00
_space_group_name_H-M_alt 'C 1 m 1'
_space_group_IT_number 8
_space_group_name_Hall 'C -2y'
loop_
_atom_site_label
_atom_site_fract_x
_atom_site_fract_y
_atom_site_fract_z
_atom_site_occupancy
Si1 0.000 0.000 0.000 1
Au1 0.190 0.500 0.125 1
Au2 0.386 0.000 0.128 1
Cl1 0.405 0.000 0.690 1